HoSc3Sb4: optimized geometry, PBE.

## Properties
Its total magnetization is 0.00 μB/f.u. As for the energy relative to the elements, uncorrected: -973 meV/atom. The excess energy over the best structure of this formula in the dataset is 0.00 kJ/mol of atoms.

Cell lengths 7.3054, 7.3054, 4.2189 Å; angles 90.00, 90.00, 109.47 degrees
Element x y z (fractional)
Ho 0.0000 0.0000 0.0000
Sc 0.0000 0.5000 0.5000
Sc 0.5000 0.0000 0.5000
Sc 0.5000 0.5000 0.0000
Sb 0.2547 0.7453 0.0000
Sb 0.2594 0.2594 0.5000
Sb 0.7406 0.7406 0.5000
Sb 0.7453 0.2547 0.0000